Compound: Al2GeRu2
Source: the Alexandria database
Functional: PBE
Structure: optimized geometry

a b c (Å): 7.027 7.027 3.037
angles (deg): 90.00 90.00 90.00
Space group P4/mbm (No. 127)
Symmetry-distinct sites (fractional):
Al 0.133 0.367 0.000
Ge 0.000 0.000 0.000
Ru 0.163 0.663 0.500

Properties
The crystal system is tetragonal. The total energy is -6.2958 eV/atom. As for the total magnetic moment: 0.000 μB per atom.

Compound: AlGeRu
Source: the Alexandria database
Functional: PBE
Structure: optimized geometry

a b c (Å): 4.2003 4.2003 3.0242
angles (deg): 90.00 90.00 120.00
Space group P-6m2 (No. 187)
Symmetry-distinct sites (fractional):
Al 0.0000 0.0000 0.0000
Ge 0.6667 0.3333 0.5000
Ru 0.3333 0.6667 0.5000

Properties
The crystal system is hexagonal. The total energy is -6.0198 eV/atom. As for the total magnetic moment: 0.000 μB per atom.

Compound: Al4GeRu5
Source: the Alexandria database
Functional: PBE
Structure: optimized geometry

a b c (Å): 3.015 3.015 15.014
angles (deg): 90.00 90.00 90.00
Space group P4/mmm (No. 123)
Symmetry-distinct sites (fractional):
Al 0.000 0.000 0.100
Al 0.000 0.000 0.297
Ge 0.000 0.000 0.500
Ru 0.500 0.500 0.000
Ru 0.500 0.500 0.200
Ru 0.500 0.500 0.402

Properties
The crystal system is tetragonal. The total energy is -7.1856 eV/atom. As for the total magnetic moment: 0.000 μB per atom.

Compound: AlGeRu2
Source: the Alexandria database
Functional: PBE
Structure: optimized geometry

a b c (Å): 4.247 3.028 8.554
angles (deg): 90.00 90.00 90.00
Space group Pmma (No. 51)
Symmetry-distinct sites (fractional):
Al 0.250 0.000 0.120
Ge 0.250 0.000 0.633
Ru 0.250 0.500 0.380
Ru 0.250 0.500 0.872

Properties
The crystal system is orthorhombic. The total energy is -7.2215 eV/atom. As for the total magnetic moment: 0.000 μB per atom.

Compound: AlGeRu
Source: the Alexandria database
Functional: PBE
Structure: optimized geometry

a b c (Å): 7.827 8.459 12.975
angles (deg): 90.00 90.00 90.00
Space group Fddd (No. 70, origin choice 2)
Symmetry-distinct sites (fractional):
Al 0.125 0.125 0.283
Ge 0.000 0.000 0.500
Ru 0.064 0.375 0.375

Properties
The crystal system is orthorhombic. The total energy is -5.8844 eV/atom. As for the total magnetic moment: 0.000 μB per atom.

Compound: AlGeRu2
Source: the Alexandria database
Functional: PBE
Structure: optimized geometry

a b c (Å): 6.566 6.566 5.902
angles (deg): 90.00 90.00 90.00
Space group I-42d (No. 122)
Symmetry-distinct sites (fractional):
Al 0.000 0.000 0.000
Ge 0.000 0.000 0.500
Ru 0.238 0.250 0.625

Properties
The crystal system is tetragonal. The total energy is -6.5122 eV/atom. As for the total magnetic moment: 0.000 μB per atom.

Compound: AlGeRu2
Source: the Alexandria database
Functional: PBE
Structure: optimized geometry

a b c (Å): 4.246 4.246 3.028
angles (deg): 90.00 90.00 90.00
Space group P4/mmm (No. 123)
Symmetry-distinct sites (fractional):
Al 0.000 0.000 0.000
Ge 0.500 0.500 0.000
Ru 0.000 0.500 0.500

Properties
The crystal system is tetragonal. The total energy is -7.2210 eV/atom. As for the total magnetic moment: 0.000 μB per atom.

Compound: Al3GeRu
Source: the Alexandria database
Functional: PBE
Structure: optimized geometry

a b c (Å): 4.652 4.652 4.652
angles (deg): 90.00 90.00 90.00
Space group Pm-3m (No. 221)
Symmetry-distinct sites (fractional):
Al 0.000 0.000 0.500
Ge 0.000 0.000 0.000
Ru 0.500 0.500 0.500

Properties
The crystal system is cubic. The total energy is -3.8900 eV/atom. As for the total magnetic moment: 0.000 μB per atom.

Compound: Al2GeRu2
Source: the Alexandria database
Functional: PBE
Structure: optimized geometry

a b c (Å): 6.825 6.825 3.222
angles (deg): 90.00 90.00 90.00
Space group P4/mbm (No. 127)
Symmetry-distinct sites (fractional):
Al 0.139 0.361 0.000
Ge 0.000 0.000 0.500
Ru 0.161 0.661 0.500

Properties
The crystal system is tetragonal. The total energy is -6.4825 eV/atom. As for the total magnetic moment: 0.000 μB per atom.

Compound: AlGe3Ru4
Source: the Alexandria database
Functional: PBE
Structure: optimized geometry

a b c (Å): 3.028 3.028 12.091
angles (deg): 90.00 90.00 90.00
Space group P4/mmm (No. 123)
Symmetry-distinct sites (fractional):
Al 0.000 0.000 0.000
Ge 0.000 0.000 0.245
Ge 0.000 0.000 0.500
Ru 0.500 0.500 0.127
Ru 0.500 0.500 0.375

Properties
The crystal system is tetragonal. The total energy is -7.2197 eV/atom. As for the total magnetic moment: 0.000 μB per atom.

Compound: AlGe2SbRu
Source: the Alexandria database
Functional: PBE
Structure: optimized geometry

a b c (Å): 5.256 5.256 5.119
angles (deg): 90.00 90.00 90.00
Space group P4/mmm (No. 123)
Symmetry-distinct sites (fractional):
Al 0.000 0.000 0.000
Ge 0.000 0.500 0.500
Sb 0.000 0.000 0.500
Ru 0.500 0.500 0.000

Properties
For the uncorrected formation energy, the calculation gives 1.61 eV/atom. The crystal system is tetragonal. As for the total magnetic moment: 0.414 μB per atom.

Compound: Sc2AlGe2Ru5
Source: the Alexandria database
Functional: PBE
Structure: optimized geometry

a b c (Å): 9.799 9.799 3.274
angles (deg): 90.00 90.00 90.00
Space group P4/mbm (No. 127)
Symmetry-distinct sites (fractional):
Sc 0.170 0.330 0.000
Al 0.000 0.000 0.000
Ge 0.132 0.632 0.000
Ru 0.000 0.500 0.500
Ru 0.062 0.801 0.500

Properties
The crystal system is tetragonal. The total energy is -7.6872 eV/atom. As for the total magnetic moment: 0.000 μB per atom.

Compound: Sc2Al2GeRu5
Source: the Alexandria database
Functional: PBE
Structure: optimized geometry

a b c (Å): 9.818 9.818 3.243
angles (deg): 90.00 90.00 90.00
Space group P4/mbm (No. 127)
Symmetry-distinct sites (fractional):
Sc 0.168 0.332 0.000
Al 0.131 0.631 0.000
Ge 0.000 0.000 0.000
Ru 0.000 0.500 0.500
Ru 0.062 0.806 0.500

Properties
The crystal system is tetragonal. The total energy is -7.5532 eV/atom. As for the total magnetic moment: 0.098 μB per atom.

Compound: AlGeRu2Se
Source: the Alexandria database
Functional: PBE
Structure: optimized geometry

a b c (Å): 4.581 4.581 4.744
angles (deg): 90.00 90.00 90.00
Space group P4/mmm (No. 123)
Symmetry-distinct sites (fractional):
Al 0.000 0.000 0.000
Ge 0.500 0.500 0.000
Ru 0.000 0.500 0.500
Se 0.000 0.000 0.500

Properties
For the uncorrected formation energy, the calculation gives 0.97 eV/atom. The crystal system is tetragonal. As for the total magnetic moment: 0.000 μB per atom.

Compound: Tb2AlGe2Ru5
Source: the Alexandria database
Functional: PBE
Structure: optimized geometry

a b c (Å): 10.039 10.039 3.319
angles (deg): 90.00 90.00 90.00
Space group P4/mbm (No. 127)
Symmetry-distinct sites (fractional):
Tb 0.172 0.328 0.000
Al 0.000 0.000 0.000
Ge 0.130 0.630 0.000
Ru 0.000 0.500 0.500
Ru 0.063 0.799 0.500

Properties
The crystal system is tetragonal. The total energy is -7.3223 eV/atom. As for the total magnetic moment: 0.000 μB per atom.

Compound: AlTcGeRu
Source: the Alexandria database
Functional: PBE
Structure: optimized geometry

a b c (Å): 6.070 6.070 6.070
angles (deg): 90.00 90.00 90.00
Space group F-43m (No. 216)
Symmetry-distinct sites (fractional):
Al 0.000 0.000 0.000
Tc 0.250 0.250 0.750
Ge 0.000 0.000 0.500
Ru 0.250 0.250 0.250

Properties
The crystal system is cubic. The total energy is -7.3041 eV/atom. As for the total magnetic moment: 0.000 μB per atom.

Compound: AlTlGe2Ru
Source: the Alexandria database
Functional: PBE
Structure: optimized geometry

a b c (Å): 4.751 4.751 5.376
angles (deg): 90.00 90.00 90.00
Space group P4/mmm (No. 123)
Symmetry-distinct sites (fractional):
Al 0.000 0.000 0.000
Tl 0.500 0.500 0.000
Ge 0.000 0.500 0.500
Ru 0.500 0.500 0.500

Properties
The crystal system is tetragonal. The total energy is -4.5376 eV/atom. As for the total magnetic moment: 0.000 μB per atom.

Compound: Tm2Al2GeRu5
Source: the Alexandria database
Functional: PBE
Structure: optimized geometry

a b c (Å): 9.976 9.976 3.280
angles (deg): 90.00 90.00 90.00
Space group P4/mbm (No. 127)
Symmetry-distinct sites (fractional):
Tm 0.170 0.330 0.000
Al 0.129 0.629 0.000
Ge 0.000 0.000 0.000
Ru 0.000 0.500 0.500
Ru 0.063 0.806 0.500

Properties
The crystal system is tetragonal. The total energy is -7.1820 eV/atom. As for the total magnetic moment: 0.117 μB per atom.

Compound: U2AlGe2Ru5
Source: the Alexandria database
Functional: PBE
Structure: optimized geometry

a b c (Å): 10.216 10.216 3.180
angles (deg): 90.00 90.00 90.00
Space group P4/mbm (No. 127)
Symmetry-distinct sites (fractional):
U 0.173 0.327 0.000
Al 0.000 0.000 0.000
Ge 0.132 0.632 0.000
Ru 0.000 0.500 0.500
Ru 0.028 0.792 0.500

Properties
The crystal system is tetragonal. The total energy is -8.4961 eV/atom. As for the total magnetic moment: 0.299 μB per atom.

Compound: Y2AlGe2Ru5
Source: the Alexandria database
Functional: PBE
Structure: optimized geometry

a b c (Å): 10.034 10.034 3.317
angles (deg): 90.00 90.00 90.00
Space group P4/mbm (No. 127)
Symmetry-distinct sites (fractional):
Y 0.172 0.328 0.000
Al 0.000 0.000 0.000
Ge 0.130 0.630 0.000
Ru 0.000 0.500 0.500
Ru 0.063 0.799 0.500

Properties
The crystal system is tetragonal. The total energy is -7.6904 eV/atom. As for the total magnetic moment: 0.000 μB per atom.

Compound: Zr2Al2GeRu5
Source: the Alexandria database
Functional: PBE
Structure: optimized geometry

a b c (Å): 9.849 9.849 3.238
angles (deg): 90.00 90.00 90.00
Space group P4/mbm (No. 127)
Symmetry-distinct sites (fractional):
Zr 0.171 0.329 0.000
Al 0.129 0.629 0.000
Ge 0.000 0.000 0.000
Ru 0.000 0.500 0.500
Ru 0.057 0.800 0.500

Properties
The crystal system is tetragonal. The total energy is -8.0243 eV/atom. As for the total magnetic moment: 0.000 μB per atom.